No. 1
Below is Tm7Ni2Rh2 after structural relaxation, with properties calculated at the PBE-GGA level.

* ΔE_f: -0.31 eV per atom
* electronic total energy: -5.5475 eV per atom

Cell lengths 6.504, 6.787, 6.504 Å; angles 90.00, 102.35, 90.00 degrees
Fractional positions:
Ni (0.770, 0.500, 0.770)
Tm (0.500, 0.263, 0.000)
Tm (0.000, 0.737, 0.500)
Tm (0.500, 0.737, 0.000)
Tm (0.500, 0.739, 0.500)
Tm (0.000, 0.000, 0.000)
Tm (0.000, 0.263, 0.500)
Rh (0.278, 0.000, 0.722)
Rh (0.722, 0.000, 0.278)
Ni (0.230, 0.500, 0.230)
Tm (0.500, 0.261, 0.500)

No. 2
Below is Th6Os2PdSe3 after structural relaxation, with properties calculated at the PBE-GGA level.

* electronic total energy: -7.9306 eV per atom
* ΔE_f (raw): -1045 meV per atom

Cell lengths 4.145, 8.778, 9.687 Å; angles 107.63, 102.35, 90.00 degrees
Fractional positions:
Se (0.500, 0.500, 0.000)
Se (0.835, 0.166, 0.670)
Th (0.664, 0.108, 0.327)
Th (0.676, 0.563, 0.351)
Os (0.166, 0.331, 0.331)
Se (0.165, 0.834, 0.330)
Pd (0.500, 0.000, 0.000)
Th (0.990, 0.757, 0.980)
Th (0.336, 0.892, 0.673)
Os (0.834, 0.669, 0.669)
Th (0.324, 0.437, 0.649)
Th (0.010, 0.243, 0.020)

No. 3
Below is BaSrMg2Hg4 after structural relaxation, with properties calculated at the PBE-GGA level.

* ΔE_f: -0.37 eV per atom
* electronic total energy: -1.3685 eV per atom

Cell lengths 5.505, 5.505, 9.216 Å; angles 72.62, 72.62, 60.00 degrees
Fractional positions:
Mg (0.751, 0.751, 0.748)
Mg (0.249, 0.249, 0.252)
Hg (0.868, 0.868, 0.397)
Ba (0.000, 0.000, 0.000)
Sr (0.500, 0.500, 0.500)
Hg (0.375, 0.375, 0.876)
Hg (0.132, 0.132, 0.603)
Hg (0.625, 0.625, 0.124)

No. 4
Below is KNa2ZnGe after structural relaxation, with properties calculated at the PBE-GGA level.

* ΔE_f: 0.03 eV per atom
* electronic total energy: -1.9000 eV per atom

Cell lengths 5.784, 5.784, 4.922 Å; angles 90.00, 90.00, 90.00 degrees
Fractional positions:
Ge (0.000, 0.000, 0.000)
K (0.500, 0.500, 0.500)
Na (0.500, 0.000, 0.000)
Zn (0.000, 0.000, 0.500)
Na (0.000, 0.500, 0.000)

No. 5
Below is Ce2PuSc4 after structural relaxation, with properties calculated at the PBE-GGA level.

* ΔE_f: 0.10 eV per atom
* electronic total energy: -7.2641 eV per atom

Cell lengths 3.312, 7.717, 8.272 Å; angles 113.63, 101.17, 103.38 degrees
Site moments in Bohr magnetons follow the coordinates.
Fractional positions:
Sc (0.393, 0.729, 0.569)  -0.05
Ce (0.057, 0.633, 0.878)  0.31
Ce (0.943, 0.367, 0.122)  0.31
Pu (0.000, 0.000, 0.000)  5.07
Sc (0.607, 0.271, 0.431)  -0.05
Sc (0.208, 0.157, 0.717)  -0.03
Sc (0.792, 0.843, 0.283)  -0.03

No. 6
Below is Ho4AuI5 after structural relaxation, with properties calculated at the PBE-GGA level.

* electronic total energy: -4.0173 eV per atom
* ΔE_f (raw): -1083 meV per atom

Cell lengths 4.189, 8.914, 9.884 Å; angles 102.09, 102.23, 90.00 degrees
Fractional positions:
Ho (0.647, 0.076, 0.294)
I (0.832, 0.660, 0.663)
I (0.168, 0.340, 0.337)
Ho (0.001, 0.212, 0.002)
I (0.177, 0.832, 0.354)
I (0.500, 0.500, 0.000)
Ho (0.353, 0.924, 0.706)
Au (0.500, 0.000, 0.000)
I (0.823, 0.168, 0.646)
Ho (0.999, 0.788, 0.998)

No. 7
Below is Pm8NdHo2 after structural relaxation, with properties calculated at the PBE-GGA level.

* ΔE_f: 0.15 eV per atom
* electronic total energy: -4.5741 eV per atom

Cell lengths 5.673, 10.320, 10.320 Å; angles 40.06, 93.14, 93.14 degrees
Fractional positions:
Nd (0.000, 0.000, 0.000)
Ho (0.254, 0.715, 0.715)
Ho (0.746, 0.285, 0.285)
Pm (0.731, 0.401, 0.865)
Pm (0.731, 0.865, 0.401)
Pm (0.238, 0.545, 0.545)
Pm (0.231, 0.188, 0.188)
Pm (0.769, 0.812, 0.812)
Pm (0.762, 0.455, 0.455)
Pm (0.269, 0.599, 0.135)
Pm (0.269, 0.135, 0.599)

No. 8
Below is Pu2ZnNi4Sb3 after structural relaxation, with properties calculated at the PBE-GGA level.

* electronic total energy: -6.9576 eV per atom
* ΔE_f (raw): -415 meV per atom

Cell lengths 4.324, 4.324, 10.048 Å; angles 90.00, 90.00, 90.00 degrees
Site moments in Bohr magnetons follow the coordinates.
Fractional positions:
Pu (0.000, 0.500, 0.753)  5.27
Zn (0.500, 0.500, 0.500)  0.03
Ni (0.000, 0.000, 0.000)  -0.02
Ni (0.500, 0.500, 0.000)  -0.02
Sb (0.500, 0.000, 0.867)  -0.03
Ni (0.000, 0.500, 0.378)  0.01
Ni (0.500, 0.000, 0.622)  0.01
Sb (0.000, 0.500, 0.133)  -0.03
Sb (0.000, 0.000, 0.500)  -0.03
Pu (0.500, 0.000, 0.247)  5.27

No. 9
Below is Zr3ScNb after structural relaxation, with properties calculated at the PBE-GGA level.

* ΔE_f: 0.05 eV per atom
* electronic total energy: -8.3585 eV per atom

Cell lengths 3.117, 7.732, 11.290 Å; angles 63.76, 66.09, 78.49 degrees
Fractional positions:
Sc (0.138, 0.341, 0.687)
Zr (0.335, 0.117, 0.277)
Zr (0.227, 0.217, 0.985)
Sc (0.550, 0.419, 0.372)
Zr (0.354, 0.644, 0.783)
Zr (0.917, 0.023, 0.596)
Zr (0.771, 0.738, 0.463)
Nb (0.897, 0.928, 0.894)
Zr (0.461, 0.544, 0.075)
Nb (0.791, 0.833, 0.165)

No. 10
Below is Ce2PmBrO4 after structural relaxation, with properties calculated at the PBE-GGA level.

* electronic total energy: -7.8911 eV per atom
* ΔE_f (raw): -3126 meV per atom

Cell lengths 4.028, 4.028, 9.175 Å; angles 90.00, 90.00, 90.00 degrees
Site moments in Bohr magnetons follow the coordinates.
Fractional positions:
O (0.000, 0.500, 0.157)  -0.02
O (0.500, 0.000, 0.843)  -0.02
Pm (0.000, 0.000, 0.000)  0.02
Br (0.000, 0.000, 0.500)  -0.01
O (0.000, 0.500, 0.843)  -0.02
Ce (0.500, 0.500, 0.268)  0.86
Ce (0.500, 0.500, 0.732)  0.86
O (0.500, 0.000, 0.157)  -0.02

No. 11
Below is AlAs2Ir after structural relaxation, with properties calculated at the PBE-GGA level.

* ΔE_f: 0.18 eV per atom
* electronic total energy: -5.2970 eV per atom

Cell lengths 4.555, 3.846, 3.846 Å; angles 90.00, 90.00, 90.00 degrees
Fractional positions:
As (0.000, 0.000, 0.000)
Ir (0.500, 0.500, 0.000)
Al (0.500, 0.000, 0.500)
As (0.000, 0.500, 0.500)

No. 12
Below is PuZnGeH after structural relaxation, with properties calculated at the PBE-GGA level.

* electronic total energy: -5.9587 eV per atom

Cell lengths 4.534, 4.535, 4.535 Å; angles 120.00, 119.99, 90.00 degrees
Site moments in Bohr magnetons follow the coordinates.
Fractional positions:
Zn (0.000, 0.000, 0.000)  -0.01
H (0.750, 0.250, 0.500)  -0.06
Pu (0.500, 0.500, 0.000)  5.07
Ge (0.250, 0.750, 0.500)  -0.07

Question: The highest electronic total energy belongs to which entry?
Answer: BaSrMg2Hg4

Question: Which of these has the lowest electronic total energy?
Answer: Zr3ScNb

Question: Look up the electronic total energy of the second one.
Answer: -7.9306 eV per atom

Question: What is the electronic total energy in the ninth record?
Answer: -8.3585 eV per atom